Entry from Alexandria via LeMat-Bulk: a relaxed structure of Pm6Y16Tm7 (PBE).

Calculated values
SG: Fm-3m (225)
Energy of formation from the pure elements: 0.24 eV/atom
Final energy: -5.392 eV per atom

a = 11.180 Å, b = 11.180 Å, c = 11.180 Å
α = 60.00°, β = 60.00°, γ = 60.00°
Element x y z (fractional)
Tm 0.000 0.000 0.500
Tm 0.000 0.500 0.500
Tm 0.500 0.500 0.000
Tm 0.000 0.000 0.000
Tm 0.500 0.000 0.500
Tm 0.500 0.000 0.000
Tm 0.000 0.500 0.000
Pm 0.284 0.284 0.716
Pm 0.284 0.716 0.716
Pm 0.284 0.716 0.284
Pm 0.716 0.716 0.284
Pm 0.716 0.284 0.716
Pm 0.716 0.284 0.284
Y 0.121 0.121 0.121
Y 0.655 0.655 0.655
Y 0.121 0.121 0.637
Y 0.964 0.345 0.345
Y 0.363 0.879 0.879
Y 0.121 0.637 0.121
Y 0.637 0.121 0.121
Y 0.345 0.345 0.345
Y 0.655 0.655 0.036
Y 0.345 0.964 0.345
Y 0.879 0.879 0.363
Y 0.879 0.363 0.879
Y 0.345 0.345 0.964
Y 0.036 0.655 0.655
Y 0.879 0.879 0.879
Y 0.655 0.036 0.655

Entry from Alexandria via LeMat-Bulk: a relaxed structure of Pm6YTm3 (PBE).

Calculated values
SG: Cmc2_1 (36)
Energy of formation from the pure elements: 0.13 eV/atom
Final energy: -4.711 eV per atom

a = 6.408 Å, b = 11.713 Å, c = 11.713 Å
α = 130.74°, β = 90.00°, γ = 90.00°
Element x y z (fractional)
Y 0.013 0.158 0.842
Y 0.513 0.842 0.158
Tm 0.093 0.420 0.580
Tm 0.991 0.043 0.293
Tm 0.991 0.707 0.957
Tm 0.593 0.580 0.420
Tm 0.491 0.957 0.707
Tm 0.491 0.293 0.043
Pm 0.823 0.545 0.106
Pm 0.310 0.984 0.016
Pm 0.072 0.740 0.620
Pm 0.297 0.698 0.302
Pm 0.572 0.260 0.380
Pm 0.323 0.455 0.894
Pm 0.323 0.106 0.545
Pm 0.823 0.894 0.455
Pm 0.572 0.620 0.740
Pm 0.797 0.302 0.698
Pm 0.072 0.380 0.260
Pm 0.810 0.016 0.984

Entry from Alexandria via LeMat-Bulk: a relaxed structure of Pm2YTm (PBE).

Calculated values
SG: Cmcm (63)
Energy of formation from the pure elements: 0.02 eV/atom
Final energy: -5.090 eV per atom

a = 5.081 Å, b = 7.180 Å, c = 7.180 Å
α = 90.65°, β = 90.01°, γ = 90.01°
Element x y z (fractional)
Tm 0.750 0.124 0.876
Tm 0.250 0.876 0.124
Pm 0.750 0.124 0.374
Pm 0.250 0.876 0.626
Pm 0.750 0.626 0.876
Pm 0.250 0.374 0.124
Y 0.750 0.626 0.374
Y 0.250 0.374 0.626

Entry from Alexandria via LeMat-Bulk: a relaxed structure of Pm4Y6Tm (PBE).

Calculated values
SG: Cmcm (63)
Energy of formation from the pure elements: 0.12 eV/atom
Final energy: -5.541 eV per atom

a = 5.766 Å, b = 5.651 Å, c = 25.910 Å
α = 90.00°, β = 90.00°, γ = 120.67°
Element x y z (fractional)
Y 0.189 0.379 0.893
Y 0.854 0.709 0.817
Y 0.146 0.291 0.317
Y 0.500 0.000 0.500
Y 0.146 0.291 0.183
Y 0.518 0.035 0.750
Y 0.189 0.379 0.607
Y 0.811 0.621 0.107
Y 0.482 0.965 0.250
Y 0.500 0.000 0.000
Y 0.811 0.621 0.393
Y 0.854 0.709 0.683
Tm 0.184 0.367 0.750
Tm 0.816 0.633 0.250
Pm 0.529 0.058 0.622
Pm 0.157 0.314 0.455
Pm 0.843 0.686 0.545
Pm 0.157 0.314 0.045
Pm 0.471 0.942 0.122
Pm 0.471 0.942 0.378
Pm 0.529 0.058 0.878
Pm 0.843 0.686 0.955

Entry from Alexandria via LeMat-Bulk: a relaxed structure of PmY2Tm (PBE).

Calculated values
SG: Cm (8)
Energy of formation from the pure elements: 0.02 eV/atom
Final energy: -5.517 eV per atom

a = 3.596 Å, b = 3.594 Å, c = 11.719 Å
α = 81.25°, β = 90.00°, γ = 59.98°
Element x y z (fractional)
Pm 0.897 0.347 0.873
Tm 0.480 0.180 0.622
Y 0.064 0.013 0.376
Y 0.648 0.844 0.126

Entry from Alexandria via LeMat-Bulk: a relaxed structure of Pm5YTm6 (PBE).

Calculated values
SG: Immm (71)
Energy of formation from the pure elements: 0.02 eV/atom
Final energy: -4.733 eV per atom

a = 5.060 Å, b = 9.981 Å, c = 9.430 Å
α = 121.96°, β = 105.57°, γ = 90.00°
Element x y z (fractional)
Tm 0.500 0.250 0.000
Tm 0.833 0.083 0.667
Tm 0.833 0.583 0.667
Tm 0.167 0.417 0.333
Tm 0.167 0.917 0.333
Tm 0.500 0.750 0.000
Pm 0.333 0.333 0.666
Pm 0.334 0.834 0.668
Pm 0.000 0.500 0.000
Pm 0.667 0.667 0.334
Pm 0.666 0.166 0.332
Y 0.000 0.000 0.000

Entry from Alexandria via LeMat-Bulk: a relaxed structure of Pm2Y2Tm (PBE).

Calculated values
SG: P2_1/c (14)
Energy of formation from the pure elements: 0.14 eV/atom
Final energy: -5.237 eV per atom

a = 6.563 Å, b = 12.261 Å, c = 8.725 Å
α = 90.00°, β = 108.23°, γ = 90.00°
Element x y z (fractional)
Pm 0.236 0.042 0.350
Pm 0.746 0.455 0.918
Pm 0.254 0.545 0.082
Pm 0.736 0.458 0.350
Pm 0.764 0.958 0.650
Pm 0.754 0.955 0.082
Pm 0.264 0.542 0.650
Pm 0.246 0.045 0.918
Tm 0.771 0.656 0.638
Tm 0.729 0.156 0.362
Tm 0.271 0.844 0.638
Tm 0.229 0.344 0.362
Y 0.997 0.303 0.695
Y 0.084 0.796 0.957
Y 0.416 0.296 0.043
Y 0.497 0.197 0.695
Y 0.584 0.704 0.957
Y 0.003 0.697 0.305
Y 0.503 0.803 0.305
Y 0.916 0.204 0.043

Entry from Alexandria via LeMat-Bulk: a relaxed structure of Pm12YTm5 (PBE).

Calculated values
SG: C2/m (12)
Energy of formation from the pure elements: 0.08 eV/atom
Final energy: -4.690 eV per atom

a = 12.137 Å, b = 10.474 Å, c = 5.742 Å
α = 89.99°, β = 89.99°, γ = 54.59°
Element x y z (fractional)
Tm 0.500 0.000 0.500
Tm 0.366 0.269 0.000
Tm 0.865 0.270 0.500
Tm 0.634 0.731 0.000
Tm 0.135 0.730 0.500
Pm 0.798 0.000 0.506
Pm 0.330 0.638 0.001
Pm 0.670 0.362 0.999
Pm 0.968 0.362 0.001
Pm 0.032 0.638 0.999
Pm 0.300 0.000 0.994
Pm 0.531 0.639 0.501
Pm 0.700 0.000 0.006
Pm 0.829 0.639 0.499
Pm 0.202 0.000 0.494
Pm 0.469 0.361 0.499
Pm 0.171 0.361 0.501
Y 0.000 0.000 0.000

no.,N(E_F) (states/eV per cell)
1,49.56
2,31.91
3,12.00
4,41.87
5,5.95
6,16.41
7,26.57
8,25.51